--- A ---
First-principles (PBE) data for a relaxed structure of DyPaCoRh, as listed in the Alexandria database.

For the total magnetization, the calculation gives 0.0 μB per formula unit. The value obtained for the density of states at the Fermi level is 2.74 states/eV/f.u.

Unit cell a=3.893 b=3.663 c=11.295 alpha=90.00 beta=90.00 gamma=90.00
Space group Amm2 (No. 38)
Asymmetric unit:
Dy (0.000, 0.000, 0.000) [2 per cell]
Pa (0.500, 0.000, 0.727) [2 per cell]
Co (0.000, 0.000, 0.251) [2 per cell]
Rh (0.500, 0.000, 0.426) [2 per cell]


--- B ---
First-principles (PBE) data for a relaxed structure of DyPaCoRh, as listed in the Alexandria database.

For the total magnetization, the calculation gives 0.0 μB per formula unit. The value obtained for the density of states at the Fermi level is 6.54 states/eV/f.u.

Unit cell a=6.788 b=6.788 c=6.788 alpha=90.00 beta=90.00 gamma=90.00
Space group F-43m (No. 216)
Asymmetric unit:
Dy (0.000, 0.000, 0.000) [4 per cell]
Pa (0.000, 0.000, 0.500) [4 per cell]
Co (0.250, 0.250, 0.750) [4 per cell]
Rh (0.250, 0.250, 0.250) [4 per cell]


So which one wins? Going from most stable to least: A, B.


--- A ---
First-principles (PBE) data for a relaxed structure of Dy4CoPb, as listed in the Alexandria database.

For the total magnetization, the calculation gives 0.4 μB per formula unit. The value obtained for the density of states at the Fermi level is 5.35 states/eV/f.u.

Unit cell a=16.304 b=7.129 c=5.877 alpha=90.00 beta=110.89 gamma=90.00
Space group C2/m (No. 12)
Asymmetric unit:
Dy (0.000, 0.215, 0.000) [4 per cell]
Dy (0.115, 0.256, 0.613) [8 per cell]
Dy (0.177, 0.500, 0.174) [4 per cell]
Co (0.000, 0.500, 0.268) [4 per cell]
Pb (0.196, 0.000, 0.197) [4 per cell]


--- B ---
First-principles (PBE) data for a relaxed structure of Dy4CoPb, as listed in the Alexandria database.

For the total magnetization, the calculation gives 0.0 μB per formula unit. The value obtained for the density of states at the Fermi level is 5.47 states/eV/f.u.

Unit cell a=8.783 b=13.115 c=6.012 alpha=90.00 beta=109.43 gamma=90.00
Space group C2/c (No. 15)
Asymmetric unit:
Dy (0.108, 0.161, 0.053) [8 per cell]
Dy (0.218, 0.423, 0.374) [8 per cell]
Co (0.000, 0.000, 0.250) [4 per cell]
Pb (0.000, 0.372, 0.750) [4 per cell]


So which one wins? Going from most stable to least: A, B.